1.
# meta-GGA SCAN CsTl2Bi2, single point on PBEsol structure
# Symmetry   No. 139
# N(E_F)   2.46 states/eV per cell
# Energy above the lowest structure with this stoichiometry   0 meV/atom
# Energy of formation from the pure elements   -27.00 kJ per mole of atoms
data_CsTl2Bi2
_chemical_formula_sum 'Cs1 Tl2 Bi2'
_cell_length_a 7.610
_cell_length_b 7.610
_cell_length_c 7.610
_cell_angle_alpha 139.02
_cell_angle_beta 139.02
_cell_angle_gamma 59.34
_space_group_name_H-M_alt 'P 1'
_space_group_IT_number 1
_space_group_name_Hall 'P 1'
loop_
_atom_site_label
_atom_site_fract_x
_atom_site_fract_y
_atom_site_fract_z
Cs1 0.000 0.000 0.000
Tl1 0.250 0.750 0.500
Tl2 0.750 0.250 0.500
Bi1 0.379 0.379 0.000
Bi2 0.621 0.621 0.000



2.
# meta-GGA SCAN Sr2DyCu2Bi2O8, single point on PBEsol structure
# Symmetry   No. 66
# Uncorrected formation energy   -191 kJ/mol of atoms
# N(E_F)   4.98 states/eV per cell
data_Sr2DyCu2Bi2O8
_chemical_formula_sum 'Sr4 Dy2 Cu4 Bi4 O16'
_cell_length_a 15.241
_cell_length_b 15.241
_cell_length_c 5.266
_cell_angle_alpha 90.00
_cell_angle_beta 90.00
_cell_angle_gamma 159.55
_space_group_name_H-M_alt 'P 1'
_space_group_IT_number 1
_space_group_name_Hall 'P 1'
loop_
_atom_site_label
_atom_site_fract_x
_atom_site_fract_y
_atom_site_fract_z
Sr1 0.112 0.386 0.000
Sr2 0.386 0.112 0.500
Sr3 0.614 0.888 0.500
Sr4 0.888 0.614 0.000
Dy1 0.000 0.500 0.000
Dy2 0.500 0.000 0.500
Cu1 0.051 0.449 0.500
Cu2 0.449 0.051 0.000
Cu3 0.551 0.949 0.000
Cu4 0.949 0.551 0.500
Bi1 0.217 0.311 0.500
Bi2 0.311 0.217 0.000
Bi3 0.689 0.783 0.000
Bi4 0.783 0.689 0.500
O1 0.116 0.350 0.500
O2 0.202 0.798 0.250
O3 0.202 0.798 0.750
O4 0.285 0.384 0.000
O5 0.299 0.701 0.250
O6 0.299 0.701 0.750
O7 0.350 0.116 0.000
O8 0.384 0.285 0.500
O9 0.616 0.715 0.500
O10 0.650 0.884 0.000
O11 0.701 0.299 0.250
O12 0.701 0.299 0.750
O13 0.715 0.616 0.000
O14 0.798 0.202 0.250
O15 0.798 0.202 0.750
O16 0.884 0.650 0.500



3.
# meta-GGA SCAN Sr2EuCu2Bi2O8, single point on PBEsol structure
# Symmetry   No. 139
# Uncorrected formation energy   -176 kJ/mol of atoms
# N(E_F)   5.52 states/eV per cell
data_Sr2EuCu2Bi2O8
_chemical_formula_sum 'Sr2 Eu1 Cu2 Bi2 O8'
_cell_length_a 15.483
_cell_length_b 15.483
_cell_length_c 15.483
_cell_angle_alpha 166.13
_cell_angle_beta 166.13
_cell_angle_gamma 19.67
_space_group_name_H-M_alt 'P 1'
_space_group_IT_number 1
_space_group_name_Hall 'P 1'
loop_
_atom_site_label
_atom_site_fract_x
_atom_site_fract_y
_atom_site_fract_z
Sr1 0.114 0.114 0.000
Sr2 0.886 0.886 0.000
Eu1 0.000 0.000 0.000
Cu1 0.446 0.446 0.000
Cu2 0.554 0.554 0.000
Bi1 0.297 0.297 0.000
Bi2 0.703 0.703 0.000
O1 0.052 0.552 0.500
O2 0.202 0.202 0.000
O3 0.365 0.365 0.000
O4 0.448 0.948 0.500
O5 0.552 0.052 0.500
O6 0.635 0.635 0.000
O7 0.798 0.798 0.000
O8 0.948 0.448 0.500



4.
# meta-GGA SCAN CuBi2F, single point on PBEsol structure
# Symmetry   No. 225
# Uncorrected formation energy   -46 kJ/mol of atoms
# N(E_F)   1.09 states/eV per cell
data_CuBi2F
_chemical_formula_sum 'Cu1 Bi2 F1'
_cell_length_a 4.707
_cell_length_b 4.707
_cell_length_c 4.707
_cell_angle_alpha 60.00
_cell_angle_beta 60.00
_cell_angle_gamma 60.00
_space_group_name_H-M_alt 'P 1'
_space_group_IT_number 1
_space_group_name_Hall 'P 1'
loop_
_atom_site_label
_atom_site_fract_x
_atom_site_fract_y
_atom_site_fract_z
Cu1 0.000 0.000 0.000
Bi1 0.250 0.250 0.250
Bi2 0.750 0.750 0.750
F1 0.500 0.500 0.500



5.
# meta-GGA SCAN CuTcBi2F, single point on PBEsol structure
# Symmetry   No. 123
# Uncorrected formation energy   22 kJ/mol of atoms
# N(E_F)   2.96 states/eV per cell
data_CuTcBi2F
_chemical_formula_sum 'Cu1 Tc1 Bi2 F1'
_cell_length_a 5.257
_cell_length_b 5.257
_cell_length_c 3.633
_cell_angle_alpha 90.00
_cell_angle_beta 90.00
_cell_angle_gamma 90.00
_space_group_name_H-M_alt 'P 1'
_space_group_IT_number 1
_space_group_name_Hall 'P 1'
loop_
_atom_site_label
_atom_site_fract_x
_atom_site_fract_y
_atom_site_fract_z
Cu1 0.000 0.000 0.000
Tc1 0.500 0.500 0.500
Bi1 0.000 0.500 0.000
Bi2 0.500 0.000 0.000
F1 0.000 0.000 0.500



6.
# meta-GGA SCAN FeCuBi3, single point on PBEsol structure
# Symmetry   No. 221
# N(E_F)   6.14 states/eV per cell
# Energy of formation from the pure elements   90.25 kJ per mole of atoms
data_FeCuBi3
_chemical_formula_sum 'Fe1 Cu1 Bi3'
_cell_length_a 5.125
_cell_length_b 5.125
_cell_length_c 5.125
_cell_angle_alpha 90.00
_cell_angle_beta 90.00
_cell_angle_gamma 90.00
_space_group_name_H-M_alt 'P 1'
_space_group_IT_number 1
_space_group_name_Hall 'P 1'
loop_
_atom_site_label
_atom_site_fract_x
_atom_site_fract_y
_atom_site_fract_z
Fe1 0.000 0.000 0.000
Cu1 0.500 0.500 0.500
Bi1 0.000 0.500 0.500
Bi2 0.500 0.000 0.500
Bi3 0.500 0.500 0.000



7.
# meta-GGA SCAN CuBiH2, single point on PBEsol structure
# Symmetry   No. 141
# DFT total energy   -24.8067 eV/atom
# N(E_F)   1.89 states/eV per cell
data_CuBiH2
_chemical_formula_sum 'Cu2 Bi2 H4'
_cell_length_a 5.110
_cell_length_b 5.110
_cell_length_c 5.110
_cell_angle_alpha 110.21
_cell_angle_beta 110.21
_cell_angle_gamma 108.00
_space_group_name_H-M_alt 'P 1'
_space_group_IT_number 1
_space_group_name_Hall 'P 1'
loop_
_atom_site_label
_atom_site_fract_x
_atom_site_fract_y
_atom_site_fract_z
Cu1 0.375 0.625 0.750
Cu2 0.625 0.375 0.250
Bi1 0.125 0.875 0.250
Bi2 0.875 0.125 0.750
H1 0.000 0.500 0.500
H2 0.500 0.000 0.000
H3 0.500 0.500 0.000
H4 0.500 0.500 0.500



8.
# meta-GGA SCAN YCu2BiH, single point on PBEsol structure
# Symmetry   No. 123
# DFT total energy   -27.6096 eV/atom
# N(E_F)   2.36 states/eV per cell
data_YCu2BiH
_chemical_formula_sum 'Y1 Cu2 Bi1 H1'
_cell_length_a 5.118
_cell_length_b 5.118
_cell_length_c 3.779
_cell_angle_alpha 90.00
_cell_angle_beta 90.00
_cell_angle_gamma 90.00
_space_group_name_H-M_alt 'P 1'
_space_group_IT_number 1
_space_group_name_Hall 'P 1'
loop_
_atom_site_label
_atom_site_fract_x
_atom_site_fract_y
_atom_site_fract_z
Y1 0.000 0.000 0.000
Cu1 0.000 0.500 0.500
Cu2 0.500 0.000 0.500
Bi1 0.500 0.500 0.500
H1 0.500 0.500 0.000



9.
# meta-GGA SCAN Hf2Cu2Bi, single point on PBEsol structure
# Symmetry   No. 127
# N(E_F)   6.94 states/eV per cell
# Energy of formation from the pure elements   -14.21 kJ per mole of atoms
data_Hf2Cu2Bi
_chemical_formula_sum 'Hf4 Cu4 Bi2'
_cell_length_a 6.764
_cell_length_b 6.764
_cell_length_c 3.925
_cell_angle_alpha 90.00
_cell_angle_beta 90.00
_cell_angle_gamma 90.00
_space_group_name_H-M_alt 'P 1'
_space_group_IT_number 1
_space_group_name_Hall 'P 1'
loop_
_atom_site_label
_atom_site_fract_x
_atom_site_fract_y
_atom_site_fract_z
Hf1 0.162 0.338 0.000
Hf2 0.338 0.838 0.000
Hf3 0.662 0.162 0.000
Hf4 0.838 0.662 0.000
Cu1 0.123 0.623 0.500
Cu2 0.377 0.123 0.500
Cu3 0.623 0.877 0.500
Cu4 0.877 0.377 0.500
Bi1 0.000 0.000 0.500
Bi2 0.500 0.500 0.500



10.
# meta-GGA SCAN Cu2HgBi2, single point on PBEsol structure
# Symmetry   No. 139
# N(E_F)   2.47 states/eV per cell
# Energy of formation from the pure elements   35.34 kJ per mole of atoms
data_Cu2HgBi2
_chemical_formula_sum 'Cu2 Hg1 Bi2'
_cell_length_a 5.353
_cell_length_b 5.353
_cell_length_c 5.353
_cell_angle_alpha 118.48
_cell_angle_beta 118.48
_cell_angle_gamma 92.65
_space_group_name_H-M_alt 'P 1'
_space_group_IT_number 1
_space_group_name_Hall 'P 1'
loop_
_atom_site_label
_atom_site_fract_x
_atom_site_fract_y
_atom_site_fract_z
Cu1 0.156 0.156 0.000
Cu2 0.844 0.844 0.000
Hg1 0.500 0.500 0.000
Bi1 0.250 0.750 0.500
Bi2 0.750 0.250 0.500



11.
# meta-GGA SCAN Cu2Hg2Bi, single point on PBEsol structure
# Symmetry   No. 139
# N(E_F)   1.64 states/eV per cell
# Energy of formation from the pure elements   20.13 kJ per mole of atoms
data_Cu2Hg2Bi
_chemical_formula_sum 'Cu2 Hg2 Bi1'
_cell_length_a 8.950
_cell_length_b 8.950
_cell_length_c 8.950
_cell_angle_alpha 157.92
_cell_angle_beta 157.92
_cell_angle_gamma 31.42
_space_group_name_H-M_alt 'P 1'
_space_group_IT_number 1
_space_group_name_Hall 'P 1'
loop_
_atom_site_label
_atom_site_fract_x
_atom_site_fract_y
_atom_site_fract_z
Cu1 0.250 0.750 0.500
Cu2 0.750 0.250 0.500
Hg1 0.129 0.129 0.000
Hg2 0.871 0.871 0.000
Bi1 0.500 0.500 0.000



12.
# meta-GGA SCAN CuHgBi2Pd, single point on PBEsol structure
# Symmetry   No. 123
# N(E_F)   2.52 states/eV per cell
# Energy of formation from the pure elements   93.89 kJ per mole of atoms
data_CuHgBi2Pd
_chemical_formula_sum 'Cu1 Hg1 Bi2 Pd1'
_cell_length_a 5.494
_cell_length_b 5.494
_cell_length_c 4.685
_cell_angle_alpha 90.00
_cell_angle_beta 90.00
_cell_angle_gamma 90.00
_space_group_name_H-M_alt 'P 1'
_space_group_IT_number 1
_space_group_name_Hall 'P 1'
loop_
_atom_site_label
_atom_site_fract_x
_atom_site_fract_y
_atom_site_fract_z
Cu1 0.000 0.000 0.000
Hg1 0.000 0.000 0.500
Bi1 0.000 0.500 0.500
Bi2 0.500 0.000 0.500
Pd1 0.500 0.500 0.000



13.
# meta-GGA SCAN CuBi2I, single point on PBEsol structure
# Symmetry   No. 122
# Uncorrected formation energy   21 kJ/mol of atoms
# N(E_F)   2.58 states/eV per cell
data_CuBi2I
_chemical_formula_sum 'Cu2 Bi4 I2'
_cell_length_a 6.864
_cell_length_b 6.864
_cell_length_c 6.864
_cell_angle_alpha 99.69
_cell_angle_beta 99.69
_cell_angle_gamma 131.57
_space_group_name_H-M_alt 'P 1'
_space_group_IT_number 1
_space_group_name_Hall 'P 1'
loop_
_atom_site_label
_atom_site_fract_x
_atom_site_fract_y
_atom_site_fract_z
Cu1 0.000 0.000 0.000
Cu2 0.750 0.250 0.500
Bi1 0.032 0.625 0.907
Bi2 0.375 0.282 0.407
Bi3 0.718 0.125 0.093
Bi4 0.875 0.968 0.593
I1 0.250 0.750 0.500
I2 0.500 0.500 0.000



14.
# meta-GGA SCAN Cu3Bi4I16, single point on PBEsol structure
# Symmetry   No. 8
# Uncorrected formation energy   -27 kJ/mol of atoms
# N(E_F)   13.40 states/eV per cell
data_Cu3Bi4I16
_chemical_formula_sum 'Cu3 Bi4 I16'
_cell_length_a 8.505
_cell_length_b 8.505
_cell_length_c 14.771
_cell_angle_alpha 105.81
_cell_angle_beta 105.81
_cell_angle_gamma 59.40
_space_group_name_H-M_alt 'P 1'
_space_group_IT_number 1
_space_group_name_Hall 'P 1'
loop_
_atom_site_label
_atom_site_fract_x
_atom_site_fract_y
_atom_site_fract_z
Cu1 0.000 0.000 0.000
Cu2 0.518 0.518 0.014
Cu3 0.720 0.720 0.251
Bi1 0.039 0.039 0.701
Bi2 0.299 0.299 0.936
Bi3 0.307 0.799 0.435
Bi4 0.799 0.307 0.435
I1 0.180 0.180 0.076
I2 0.184 0.184 0.570
I3 0.184 0.668 0.569
I4 0.193 0.691 0.068
I5 0.419 0.945 0.312
I6 0.425 0.425 0.309
I7 0.433 0.915 0.818
I8 0.442 0.442 0.828
I9 0.668 0.184 0.569
I10 0.682 0.682 0.565
I11 0.691 0.193 0.068
I12 0.696 0.696 0.075
I13 0.913 0.913 0.820
I14 0.915 0.433 0.818
I15 0.919 0.919 0.307
I16 0.945 0.419 0.312



15.
# meta-GGA SCAN Cu3BiSe2IO8, single point on PBEsol structure
# Symmetry   No. 59
# Uncorrected formation energy   -86 kJ/mol of atoms
data_Cu3BiSe2IO8
_chemical_formula_sum 'Cu6 Bi2 Se4 I2 O16'
_cell_length_a 6.358
_cell_length_b 9.717
_cell_length_c 7.250
_cell_angle_alpha 90.00
_cell_angle_beta 90.00
_cell_angle_gamma 90.00
_space_group_name_H-M_alt 'P 1'
_space_group_IT_number 1
_space_group_name_Hall 'P 1'
loop_
_atom_site_label
_atom_site_fract_x
_atom_site_fract_y
_atom_site_fract_z
Cu1 0.000 0.000 0.000
Cu2 0.000 0.500 0.000
Cu3 0.250 0.250 0.205
Cu4 0.500 0.000 0.000
Cu5 0.500 0.500 0.000
Cu6 0.750 0.750 0.795
Bi1 0.250 0.250 0.750
Bi2 0.750 0.750 0.250
Se1 0.250 0.556 0.392
Se2 0.250 0.944 0.392
Se3 0.750 0.056 0.608
Se4 0.750 0.444 0.608
I1 0.250 0.750 0.835
I2 0.750 0.250 0.165
O1 0.038 0.584 0.246
O2 0.038 0.916 0.246
O3 0.250 0.114 0.009
O4 0.250 0.120 0.412
O5 0.250 0.380 0.412
O6 0.250 0.386 0.009
O7 0.462 0.584 0.246
O8 0.462 0.916 0.246
O9 0.538 0.084 0.754
O10 0.538 0.416 0.754
O11 0.750 0.614 0.991
O12 0.750 0.620 0.588
O13 0.750 0.880 0.588
O14 0.750 0.886 0.991
O15 0.962 0.084 0.754
O16 0.962 0.416 0.754



16.
# meta-GGA SCAN Rb2CuBiI6, single point on PBEsol structure
# Symmetry   No. 225
# Uncorrected formation energy   -77 kJ/mol of atoms
# N(E_F)   0.24 states/eV per cell
data_Rb2CuBiI6
_chemical_formula_sum 'Rb2 Cu1 Bi1 I6'
_cell_length_a 8.228
_cell_length_b 8.228
_cell_length_c 8.228
_cell_angle_alpha 60.00
_cell_angle_beta 60.00
_cell_angle_gamma 60.00
_space_group_name_H-M_alt 'P 1'
_space_group_IT_number 1
_space_group_name_Hall 'P 1'
loop_
_atom_site_label
_atom_site_fract_x
_atom_site_fract_y
_atom_site_fract_z
Rb1 0.250 0.250 0.250
Rb2 0.750 0.750 0.750
Cu1 0.000 0.000 0.000
Bi1 0.500 0.500 0.500
I1 0.238 0.238 0.762
I2 0.238 0.762 0.238
I3 0.238 0.762 0.762
I4 0.762 0.238 0.238
I5 0.762 0.238 0.762
I6 0.762 0.762 0.238



17.
# meta-GGA SCAN CuBiTe2I, single point on PBEsol structure
# Symmetry   No. 123
# Uncorrected formation energy   30 kJ/mol of atoms
# N(E_F)   3.01 states/eV per cell
data_CuBiTe2I
_chemical_formula_sum 'Cu1 Bi1 Te2 I1'
_cell_length_a 5.150
_cell_length_b 5.150
_cell_length_c 5.145
_cell_angle_alpha 90.00
_cell_angle_beta 90.00
_cell_angle_gamma 90.00
_space_group_name_H-M_alt 'P 1'
_space_group_IT_number 1
_space_group_name_Hall 'P 1'
loop_
_atom_site_label
_atom_site_fract_x
_atom_site_fract_y
_atom_site_fract_z
Cu1 0.000 0.000 0.000
Bi1 0.500 0.500 0.500
Te1 0.000 0.500 0.000
Te2 0.500 0.000 0.000
I1 0.000 0.000 0.500



18.
# meta-GGA SCAN Cu3BiIr, single point on PBEsol structure
# Symmetry   No. 221
# N(E_F)   4.00 states/eV per cell
# Energy of formation from the pure elements   169.36 kJ per mole of atoms
data_Cu3BiIr
_chemical_formula_sum 'Cu3 Bi1 Ir1'
_cell_length_a 4.701
_cell_length_b 4.701
_cell_length_c 4.701
_cell_angle_alpha 90.00
_cell_angle_beta 90.00
_cell_angle_gamma 90.00
_space_group_name_H-M_alt 'P 1'
_space_group_IT_number 1
_space_group_name_Hall 'P 1'
loop_
_atom_site_label
_atom_site_fract_x
_atom_site_fract_y
_atom_site_fract_z
Cu1 0.000 0.000 0.500
Cu2 0.000 0.500 0.000
Cu3 0.500 0.000 0.000
Bi1 0.000 0.000 0.000
Ir1 0.500 0.500 0.500



19.
# meta-GGA SCAN Y2CuBiIr, single point on PBEsol structure
# Symmetry   No. 123
# N(E_F)   3.52 states/eV per cell
# Energy of formation from the pure elements   31.50 kJ per mole of atoms
data_Y2CuBiIr
_chemical_formula_sum 'Y2 Cu1 Bi1 Ir1'
_cell_length_a 5.096
_cell_length_b 5.096
_cell_length_c 4.692
_cell_angle_alpha 90.00
_cell_angle_beta 90.00
_cell_angle_gamma 90.00
_space_group_name_H-M_alt 'P 1'
_space_group_IT_number 1
_space_group_name_Hall 'P 1'
loop_
_atom_site_label
_atom_site_fract_x
_atom_site_fract_y
_atom_site_fract_z
Y1 0.000 0.500 0.000
Y2 0.500 0.000 0.000
Cu1 0.000 0.000 0.000
Bi1 0.000 0.000 0.500
Ir1 0.500 0.500 0.500



20.
# meta-GGA SCAN KCu3Bi, single point on PBEsol structure
# Symmetry   No. 221
# N(E_F)   2.61 states/eV per cell
# Energy of formation from the pure elements   152.51 kJ per mole of atoms
data_KCu3Bi
_chemical_formula_sum 'K1 Cu3 Bi1'
_cell_length_a 4.852
_cell_length_b 4.852
_cell_length_c 4.852
_cell_angle_alpha 90.00
_cell_angle_beta 90.00
_cell_angle_gamma 90.00
_space_group_name_H-M_alt 'P 1'
_space_group_IT_number 1
_space_group_name_Hall 'P 1'
loop_
_atom_site_label
_atom_site_fract_x
_atom_site_fract_y
_atom_site_fract_z
K1 0.000 0.000 0.000
Cu1 0.000 0.000 0.500
Cu2 0.000 0.500 0.000
Cu3 0.500 0.000 0.000
Bi1 0.500 0.500 0.500



Going through the records in order, we get M_tot values of 0.000, 0.000, 6.308, 0.000, 3.067, 3.362, 0.000, 0.000, 0.000, 0.000, 0.000, 0.000, 0.000, 0.003, 6.015, 0.000, 0.000, 2.079, 0.000, 0.000 μB per cell.